# 1
## ScTlI4 (PBE-GGA)

Data for ScTlI4 after structural relaxation.

The structure in POSCAR format:
```
ScTlI4
1.0
-2.520 -1.934 -2.921
1.819 -6.506 2.738
-6.798 0.976 5.218
I Tl Sc
4 1 1
direct
0.000 0.757 0.726
0.500 0.774 0.126
0.000 0.243 0.274
0.500 0.226 0.874
0.500 0.000 0.500
0.000 0.000 0.000
```

**Total magnetization**: 0.00 μB/cell
**Raw total energy**: -3.505 eV/atom
**Crystal system**: monoclinic

# 2
## RbCdPtBr2 (PBE-GGA)

Data for RbCdPtBr2 after structural relaxation.

The structure in POSCAR format:
```
RbCdPtBr2
1.0
-3.052 -3.502 2.582
7.104 -1.912 5.802
-1.641 3.848 3.278
Br Cd Pt Rb
2 1 1 1
direct
0.500 0.000 0.000
0.000 0.000 0.500
0.000 0.000 0.000
0.500 0.500 0.500
0.000 0.500 0.000
```

**Total magnetization**: 1.13 μB/cell
**Raw total energy**: -2.091 eV/atom
**Crystal system**: tetragonal

# 3
## MnTe2OsN (PBE-GGA)

Data for MnTe2OsN after structural relaxation.

The structure in POSCAR format:
```
MnTe2OsN
1.0
5.092 0.000 0.000
0.000 5.092 0.000
0.000 0.000 3.390
Os N Te Mn
1 1 2 1
direct
0.500 0.500 0.500
0.000 0.000 0.500
0.500 0.000 0.000
0.000 0.500 0.000
0.000 0.000 0.000
```

**Total magnetization**: 0.62 μB/cell
**Raw total energy**: -6.241 eV/atom
**Crystal system**: tetragonal

# 4
## La5PmSn2 (PBE-GGA)

Data for La5PmSn2 after structural relaxation.

The structure in POSCAR format:
```
La5PmSn2
1.0
-3.064 2.909 -2.663
-4.107 -5.622 -1.417
-7.640 2.639 11.675
Sn La Pm
4 10 2
direct
0.500 0.243 0.623
0.500 0.757 0.377
0.500 0.257 0.123
0.500 0.743 0.877
0.000 0.500 0.500
0.000 0.007 0.252
0.000 0.507 0.248
0.500 0.246 0.875
0.500 0.254 0.375
0.500 0.746 0.625
0.500 0.754 0.125
0.000 0.000 0.000
0.000 0.993 0.748
0.000 0.493 0.752
0.000 0.500 0.000
0.000 0.000 0.500
```

**Total magnetization**: 0.00 μB/cell
**DFT formation energy**: -3.9 eV/f.u.
**Raw total energy**: -5.157 eV/atom
**Crystal system**: orthorhombic